(1)
# Tl3NiSe PBE-GGA optimized geometry
# * DOS at the Fermi energy: 0.387 states/eV per atom
# * ΔE_f (raw): -0.027 eV per atom
# * E above lowest polymorph: 0 meV per atom
data_Tl3NiSe
_symmetry_space_group_name_H-M 'P m -3 m'
_symmetry_Int_Tables_number 221
_symmetry_space_group_name_Hall '-P 4 2 3'
_cell_length_a 5.124
_cell_length_b 5.124
_cell_length_c 5.124
_cell_angle_alpha 90.00
_cell_angle_beta 90.00
_cell_angle_gamma 90.00
loop_
_atom_site_label
_atom_site_type_symbol
_atom_site_fract_x
_atom_site_fract_y
_atom_site_fract_z
Tl1 Tl 0.000 0.000 0.500
Ni1 Ni 0.000 0.000 0.000
Se1 Se 0.500 0.500 0.500

(2)
# BiSbOsRh2 PBE-GGA optimized geometry
# * DOS at the Fermi energy: 0.922 states/eV per atom
# * ΔE_f (raw): 1.042 eV per atom
data_BiSbOsRh2
_symmetry_space_group_name_H-M 'P 4/m m m'
_symmetry_Int_Tables_number 123
_symmetry_space_group_name_Hall '-P 4 2'
_cell_length_a 4.800
_cell_length_b 4.800
_cell_length_c 5.218
_cell_angle_alpha 90.00
_cell_angle_beta 90.00
_cell_angle_gamma 90.00
loop_
_atom_site_label
_atom_site_type_symbol
_atom_site_fract_x
_atom_site_fract_y
_atom_site_fract_z
Bi1 Bi 0.000 0.000 0.000
Sb1 Sb 0.500 0.500 0.000
Os1 Os 0.000 0.000 0.500
Rh1 Rh 0.000 0.500 0.500

(3)
# AcSmDyY2 PBE-GGA optimized geometry
# * DOS at the Fermi energy: 1.725 states/eV per atom
# * calculated total energy: -4.88 eV/atom
data_AcSmDyY2
_symmetry_space_group_name_H-M 'C m c m'
_symmetry_Int_Tables_number 63
_symmetry_space_group_name_Hall '-C 2c 2'
_cell_length_a 6.552
_cell_length_b 17.483
_cell_length_c 6.460
_cell_angle_alpha 90.00
_cell_angle_beta 90.00
_cell_angle_gamma 90.00
loop_
_atom_site_label
_atom_site_type_symbol
_atom_site_fract_x
_atom_site_fract_y
_atom_site_fract_z
Ac1 Ac 0.000 0.160 0.250
Sm1 Sm 0.000 0.347 0.250
Dy1 Dy 0.000 0.269 0.750
Y1 Y 0.245 0.500 0.000

(4)
# CePm12Sm3 PBE-GGA optimized geometry
# * DOS at the Fermi energy: 1.654 states/eV per atom
# * calculated total energy: -4.79 eV/atom
data_CePm12Sm3
_symmetry_space_group_name_H-M 'P 4/m m m'
_symmetry_Int_Tables_number 123
_symmetry_space_group_name_Hall '-P 4 2'
_cell_length_a 5.149
_cell_length_b 5.149
_cell_length_c 20.579
_cell_angle_alpha 90.00
_cell_angle_beta 90.00
_cell_angle_gamma 90.00
loop_
_atom_site_label
_atom_site_type_symbol
_atom_site_fract_x
_atom_site_fract_y
_atom_site_fract_z
Ce1 Ce 0.000 0.000 0.000
Pm1 Pm 0.000 0.500 0.123
Pm2 Pm 0.000 0.500 0.374
Pm3 Pm 0.500 0.500 0.000
Pm4 Pm 0.500 0.500 0.250
Pm5 Pm 0.500 0.500 0.500
Sm1 Sm 0.000 0.000 0.249
Sm2 Sm 0.000 0.000 0.500

(5)
# Ho6Hg2Ru PBE-GGA optimized geometry
# * DOS at the Fermi energy: 0.887 states/eV per atom
# * calculated total energy: -4.43 eV/atom
data_Ho6Hg2Ru
_symmetry_space_group_name_H-M 'P 1 21/c 1'
_symmetry_Int_Tables_number 14
_symmetry_space_group_name_Hall '-P 2ybc'
_cell_length_a 6.853
_cell_length_b 7.383
_cell_length_c 12.126
_cell_angle_alpha 90.00
_cell_angle_beta 123.51
_cell_angle_gamma 90.00
loop_
_atom_site_label
_atom_site_type_symbol
_atom_site_fract_x
_atom_site_fract_y
_atom_site_fract_z
Ho1 Ho 0.136 0.013 0.247
Ho2 Ho 0.226 0.689 0.051
Ho3 Ho 0.364 0.189 0.052
Hg1 Hg 0.293 0.096 0.752
Ru1 Ru 0.500 0.000 0.500

(6)
# Cs2AcTmSe4 PBE-GGA optimized geometry
# * DOS at the Fermi energy: 0.000 states/eV per atom
# * ΔE_f (raw): -1.734 eV per atom
data_Cs2AcTmSe4
_symmetry_space_group_name_H-M 'P 1 2/m 1'
_symmetry_Int_Tables_number 10
_symmetry_space_group_name_Hall '-P 2y'
_cell_length_a 7.684
_cell_length_b 4.429
_cell_length_c 8.789
_cell_angle_alpha 90.00
_cell_angle_beta 106.82
_cell_angle_gamma 90.00
loop_
_atom_site_label
_atom_site_type_symbol
_atom_site_fract_x
_atom_site_fract_y
_atom_site_fract_z
Cs1 Cs 0.000 0.000 0.000
Cs2 Cs 0.500 0.500 0.000
Ac1 Ac 0.000 0.500 0.500
Tm1 Tm 0.500 0.000 0.500
Se1 Se 0.252 0.000 0.693
Se2 Se 0.290 0.500 0.315